Entry 1:
Computed, not measured: LaTbSm4Ho2 after structural relaxation at the PBE level of DFT.

```
LaTbSm4Ho2
1.0
6.2307 0.0000 0.0000
0.0000 3.6195 0.0000
-2.1116 0.0000 11.7989
La Tb Sm Ho
1 1 4 2
direct
0.0000 0.0000 0.0000
0.0000 0.5000 0.5000
0.2504 0.5000 0.2542
0.2511 0.0000 0.7483
0.7489 0.0000 0.2517
0.7496 0.5000 0.7458
0.5000 0.0000 0.5000
0.5000 0.5000 0.0000
```

Results
- DFT total energy: -37.431 eV/f.u.
- Energy of formation from the pure elements: 0.16 eV per formula unit



Entry 2:
Computed, not measured: Cs2TaNiI6 after structural relaxation at the PBE level of DFT.

```
Cs2TaNiI6
1.0
-4.0537 4.0537 5.7258
4.0537 -4.0537 5.7258
4.0537 4.0537 -5.7258
Cs Ta Ni I
2 1 1 6
direct
0.2500 0.7500 0.5000
0.7500 0.2500 0.5000
0.0000 0.0000 0.0000
0.5000 0.5000 0.0000
0.2504 0.2504 0.0000
0.2500 0.2500 0.5000
0.2500 0.7500 0.0000
0.7500 0.2500 0.0000
0.7496 0.7496 0.0000
0.7500 0.7500 0.5000
```

Results
- DFT total energy: -34.320 eV/f.u.
- Formation energy (no corrections): -0.568 eV/atom



Entry 3:
Computed, not measured: TbZrN2 after structural relaxation at the PBE level of DFT.

```
TbZrN2
1.0
1.6502 0.9527 5.7951
-1.6502 0.9527 5.7951
0.0000 -1.9055 5.7951
Tb Zr N
1 1 2
direct
0.0000 0.0000 0.0000
0.8262 0.8262 0.8262
0.2372 0.2372 0.2372
0.4201 0.4201 0.4201
```

Results
- DFT total energy: -35.802 eV/f.u.
- Formation energy (no corrections): -1.493 eV/atom



Entry 4:
Computed, not measured: Co2CuNi after structural relaxation at the PBE level of DFT.

```
Co2CuNi
1.0
2.5090 0.0000 0.0000
0.0000 2.5090 0.0000
0.0000 0.0000 7.0760
Co Cu Ni
2 1 1
direct
0.0000 0.0000 0.0000
0.5000 0.5000 0.2384
0.0000 0.0000 0.4993
0.5000 0.5000 0.7559
```

Results
- ΔE to the lowest computed polymorph: 0.034 eV/atom
- DFT total energy: -23.872 eV/f.u.
- Energy of formation from the pure elements: 0.22 eV per formula unit



Entry 5:
Computed, not measured: Cd2Pd8Pt after structural relaxation at the PBE level of DFT.

```
Cd2Pd8Pt
1.0
5.0844 -4.4790 0.0000
5.0844 4.4790 0.0000
-1.4287 0.0000 4.5863
Cd Pd Pt
2 8 1
direct
0.1554 0.1554 0.0474
0.8446 0.8446 0.9526
0.1665 0.6716 0.6967
0.2777 0.2777 0.6163
0.3284 0.8335 0.3033
0.4337 0.4337 0.2067
0.5663 0.5663 0.7933
0.6716 0.1665 0.6967
0.7223 0.7223 0.3837
0.8335 0.3284 0.3033
0.0000 0.0000 0.5000
```

Results
- ΔE to the lowest computed polymorph: 0.243 eV/atom
- DFT total energy: -47.542 eV/f.u.
- Energy of formation from the pure elements: 1.87 eV per formula unit



Entry 6:
Computed, not measured: Tm6P3SeS2 after structural relaxation at the PBE level of DFT.

```
Tm6P3SeS2
1.0
8.5819 -1.9611 0.0000
8.5819 1.9611 0.0000
-1.8581 0.0000 7.6553
Tm P Se S
6 3 1 2
direct
0.0016 0.0016 0.2360
0.3279 0.3279 0.4209
0.3352 0.3352 0.9117
0.6648 0.6648 0.0883
0.6721 0.6721 0.5791
0.9984 0.9984 0.7640
0.1656 0.1656 0.3322
0.5000 0.5000 0.0000
0.8344 0.8344 0.6678
0.5000 0.5000 0.5000
0.1672 0.1672 0.8334
0.8328 0.8328 0.1666
```

Results
- DFT total energy: -76.432 eV/f.u.
- Formation energy (no corrections): -1.803 eV/atom